Compound: Cs2PPbI6
Source: Alexandria
Functional: PBE
Structure: relaxed

Cell: 8.573 8.573 8.573 Å, 119.91 119.91 90.15°
Positions (direct):
Cs1 0.250 0.750 0.500
Cs2 0.750 0.250 0.500
P1 0.000 0.000 0.000
Pb1 0.500 0.500 0.000
I1 0.235 0.235 0.000
I2 0.237 0.237 0.475
I3 0.237 0.763 0.000
I4 0.763 0.237 0.000
I5 0.763 0.763 0.525
I6 0.765 0.765 0.000

crystal system	tetragonal
E	-0.2004	Ry/atom
raw formation energy	-7.140	eV/f.u.
D(E_F)	4.79	states/eV per cell

=====

Compound: CsTePPdI
Source: Alexandria
Functional: PBE
Structure: relaxed

Cell: 6.578 4.229 6.846 Å, 90.00 106.36 90.00°
Positions (direct):
Cs1 0.000 0.000 0.000
Te1 0.100 0.500 0.526
P1 0.512 0.500 0.726
Pd1 0.358 0.000 0.634
I1 0.535 0.500 0.117

crystal system	monoclinic
E	-0.2732	Ry/atom
distance to the lowest polymorph of the same formula	3	meV per atom
raw formation energy	-2.440	eV/f.u.
D(E_F)	1.60	states/eV per cell

=====

Compound: CsTePPdI
Source: Alexandria
Functional: PBE
Structure: relaxed

Cell: 4.547 6.042 8.480 Å, 104.63 98.81 90.12°
Positions (direct):
Cs1 0.000 0.000 0.000
Te1 0.877 0.551 0.521
P1 0.082 0.597 0.288
Pd1 0.562 0.554 0.230
I1 0.470 0.466 0.896

crystal system	triclinic
E	-0.2708	Ry/atom
distance to the lowest polymorph of the same formula	35	meV per atom
raw formation energy	-2.276	eV/f.u.
D(E_F)	2.43	states/eV per cell

=====

Compound: CsTePPdI
Source: Alexandria
Functional: PBE
Structure: relaxed

Cell: 4.283 6.782 6.441 Å, 90.00 90.00 90.00°
Positions (direct):
Cs1 0.000 0.000 0.000
Te1 0.500 0.500 0.443
P1 0.500 0.500 0.047
Pd1 0.000 0.500 0.193
I1 0.500 0.000 0.507

crystal system	orthorhombic
E	-0.2680	Ry/atom
distance to the lowest polymorph of the same formula	73	meV per atom
raw formation energy	-2.086	eV/f.u.
D(E_F)	1.72	states/eV per cell

=====

Compound: CsTePPdI
Source: Alexandria
Functional: PBE
Structure: relaxed

Cell: 4.234 7.218 7.233 Å, 62.21 73.70 73.74°
Positions (direct):
Cs1 0.000 0.000 0.000
Te1 0.322 0.526 0.847
P1 0.492 0.574 0.445
Pd1 0.917 0.583 0.592
I1 0.665 0.186 0.474

crystal system	triclinic
E	-0.2719	Ry/atom
distance to the lowest polymorph of the same formula	21	meV per atom
raw formation energy	-2.348	eV/f.u.
D(E_F)	1.77	states/eV per cell

=====

Compound: CsTePPdI
Source: Alexandria
Functional: PBE
Structure: relaxed

Cell: 6.398 4.225 6.905 Å, 90.00 95.89 90.00°
Positions (direct):
Cs1 0.000 0.000 0.000
Te1 0.011 0.500 0.503
P1 0.588 0.500 0.437
Pd1 0.749 0.000 0.474
I1 0.503 0.500 0.049

crystal system	monoclinic
E	-0.2734	Ry/atom
distance to the lowest polymorph of the same formula	0	meV per atom
raw formation energy	-2.453	eV/f.u.
D(E_F)	1.38	states/eV per cell

=====

Compound: Cs2PPtI
Source: Alexandria
Functional: PBE
Structure: relaxed

Cell: 7.039 7.039 4.388 Å, 90.00 90.00 90.00°
Positions (direct):
Cs1 0.000 0.500 0.000
Cs2 0.500 0.000 0.000
P1 0.000 0.000 0.500
Pt1 0.000 0.000 0.000
I1 0.500 0.500 0.500

crystal system	tetragonal
E	-0.2733	Ry/atom
distance to the lowest polymorph of the same formula	0	meV per atom
raw formation energy	-3.885	eV/f.u.
D(E_F)	2.55	states/eV per cell

=====

Compound: Cs2PPtI
Source: Alexandria
Functional: PBE
Structure: relaxed

Cell: 7.061 7.061 4.371 Å, 90.00 90.00 90.00°
Positions (direct):
Cs1 0.000 0.500 0.000
Cs2 0.500 0.000 0.000
P1 0.000 0.000 0.000
Pt1 0.000 0.000 0.500
I1 0.500 0.500 0.500

crystal system	tetragonal
E	-0.2722	Ry/atom
distance to the lowest polymorph of the same formula	14	meV per atom
raw formation energy	-3.813	eV/f.u.
D(E_F)	1.99	states/eV per cell

=====

Compound: Cs2PPtI6
Source: Alexandria
Functional: PBE
Structure: relaxed

Cell: 8.077 8.077 8.077 Å, 119.77 119.77 90.39°
Positions (direct):
Cs1 0.250 0.750 0.500
Cs2 0.750 0.250 0.500
P1 0.000 0.000 0.000
Pt1 0.500 0.500 0.000
I1 0.253 0.253 0.000
I2 0.253 0.253 0.506
I3 0.253 0.747 0.000
I4 0.747 0.253 0.000
I5 0.747 0.747 0.000
I6 0.747 0.747 0.494

crystal system	tetragonal
E	-0.2079	Ry/atom
raw formation energy	-5.834	eV/f.u.
D(E_F)	2.77	states/eV per cell

=====

Compound: Cs2RePI6
Source: Alexandria
Functional: PBE
Structure: relaxed

Cell: 8.452 8.452 8.452 Å, 122.63 122.63 85.51°
Positions (direct):
Cs1 0.250 0.750 0.500
Cs2 0.750 0.250 0.500
Re1 0.000 0.000 0.000
P1 0.500 0.500 0.000
I1 0.222 0.222 0.000
I2 0.247 0.247 0.495
I3 0.247 0.753 0.000
I4 0.753 0.247 0.000
I5 0.753 0.753 0.505
I6 0.778 0.778 0.000

crystal system	tetragonal
E	-0.2350	Ry/atom
raw formation energy	-3.106	eV/f.u.
D(E_F)	5.92	states/eV per cell

=====

Compound: Cs2PRhI6
Source: Alexandria
Functional: PBE
Structure: relaxed

Cell: 8.050 8.050 8.050 Å, 120.20 120.20 89.65°
Positions (direct):
Cs1 0.250 0.750 0.500
Cs2 0.750 0.250 0.500
P1 0.000 0.000 0.000
Rh1 0.500 0.500 0.000
I1 0.255 0.255 0.510
I2 0.255 0.745 0.000
I3 0.256 0.256 0.000
I4 0.744 0.744 0.000
I5 0.745 0.255 0.000
I6 0.745 0.745 0.490

crystal system	tetragonal
E	-0.2154	Ry/atom
raw formation energy	-5.538	eV/f.u.
D(E_F)	4.49	states/eV per cell

=====

Compound: Cs2PRuI6
Source: Alexandria
Functional: PBE
Structure: relaxed

Cell: 8.106 8.106 8.106 Å, 60.00 60.00 60.00°
Positions (direct):
Cs1 0.250 0.250 0.250
Cs2 0.750 0.750 0.750
P1 0.000 0.000 0.000
Ru1 0.500 0.500 0.500
I1 0.256 0.256 0.744
I2 0.256 0.744 0.256
I3 0.256 0.744 0.744
I4 0.744 0.256 0.256
I5 0.744 0.256 0.744
I6 0.744 0.744 0.256

crystal system	cubic
E	-0.2202	Ry/atom
raw formation energy	-4.263	eV/f.u.
D(E_F)	11.97	states/eV per cell